Material: Ac2CeNiO6
Method: DFT, GGA+U
State: optimized geometry

Cell: 6.013 5.864 6.082 Å, 118.82 121.55 90.00°
Last column: magnetic moment on the atom in μB.
Positions (direct):
Ac  0.236  0.256  0.513  0.00
Ac  0.764  0.744  0.487  0.00
Ce  0.000  0.500  0.000  0.07
Ni  0.500  0.000  0.000  1.76
O  0.359  0.753  0.506  0.03
O  0.198  0.184  0.876  0.02
O  0.802  0.308  0.124  0.02
O  0.198  0.692  0.876  0.02
O  0.802  0.816  0.124  0.02
O  0.641  0.247  0.494  0.03

Output
The density of states at the Fermi level is 0.000 states/eV per cell. The total energy comes out at -75.006 eV per formula unit.